Here is an optimized crystal structure of Hg12Pd3Br5 from Alexandria via LeMat-Bulk. Energies are from PBE.

abc: 14.7393 14.7393 14.7393
angles: 109.47 109.47 109.47
Fractional coordinates of all 80 atoms:
Hg1 0.0557 0.6328 0.3840
Hg2 0.0557 0.9229 0.6717
Hg3 0.0771 0.2487 0.1328
Hg4 0.0771 0.3283 0.9443
Hg5 0.1160 0.7487 0.6717
Hg6 0.1160 0.8672 0.4443
Hg7 0.1328 0.0771 0.2487
Hg8 0.1328 0.5557 0.8840
Hg9 0.1717 0.2487 0.6160
Hg10 0.1717 0.4229 0.5557
Hg11 0.2487 0.1328 0.0771
Hg12 0.2487 0.6160 0.1717
Hg13 0.2513 0.3283 0.8840
Hg14 0.2513 0.4229 0.3672
Hg15 0.3283 0.8840 0.2513
Hg16 0.3283 0.9443 0.0771
Hg17 0.3672 0.2513 0.4229
Hg18 0.3672 0.6160 0.9443
Hg19 0.3840 0.0557 0.6328
Hg20 0.3840 0.8283 0.7513
Hg21 0.4229 0.3672 0.2513
Hg22 0.4229 0.5557 0.1717
Hg23 0.4443 0.1160 0.8672
Hg24 0.4443 0.8283 0.5771
Hg25 0.5557 0.1717 0.4229
Hg26 0.5557 0.8840 0.1328
Hg27 0.5771 0.4443 0.8283
Hg28 0.5771 0.6328 0.7487
Hg29 0.6160 0.1717 0.2487
Hg30 0.6160 0.9443 0.3672
Hg31 0.6328 0.3840 0.0557
Hg32 0.6328 0.7487 0.5771
Hg33 0.6717 0.0557 0.9229
Hg34 0.6717 0.1160 0.7487
Hg35 0.7487 0.5771 0.6328
Hg36 0.7487 0.6717 0.1160
Hg37 0.7513 0.3840 0.8283
Hg38 0.7513 0.8672 0.9229
Hg39 0.8283 0.5771 0.4443
Hg40 0.8283 0.7513 0.3840
Hg41 0.8672 0.4443 0.1160
Hg42 0.8672 0.9229 0.7513
Hg43 0.8840 0.1328 0.5557
Hg44 0.8840 0.2513 0.3283
Hg45 0.9229 0.6717 0.0557
Hg46 0.9229 0.7513 0.8672
Hg47 0.9443 0.0771 0.3283
Hg48 0.9443 0.3672 0.6160
Pd1 0.1250 0.2500 0.3750
Pd2 0.1250 0.3750 0.7500
Pd3 0.2500 0.3750 0.1250
Pd4 0.2500 0.8750 0.6250
Pd5 0.3750 0.1250 0.2500
Pd6 0.3750 0.7500 0.1250
Pd7 0.6250 0.2500 0.8750
Pd8 0.6250 0.8750 0.7500
Pd9 0.7500 0.1250 0.3750
Pd10 0.7500 0.6250 0.8750
Pd11 0.8750 0.6250 0.2500
Pd12 0.8750 0.7500 0.6250
Br1 0.0000 0.0000 0.0000
Br2 0.0000 0.0000 0.5000
Br3 0.0000 0.5000 0.0000
Br4 0.0000 0.5000 0.5000
Br5 0.1250 0.7500 0.8750
Br6 0.1250 0.8750 0.2500
Br7 0.2500 0.1250 0.8750
Br8 0.2500 0.6250 0.3750
Br9 0.3750 0.2500 0.6250
Br10 0.3750 0.6250 0.7500
Br11 0.5000 0.0000 0.0000
Br12 0.5000 0.0000 0.5000
Br13 0.5000 0.5000 0.0000
Br14 0.5000 0.5000 0.5000
Br15 0.6250 0.3750 0.2500
Br16 0.6250 0.7500 0.3750
Br17 0.7500 0.3750 0.6250
Br18 0.7500 0.8750 0.1250
Br19 0.8750 0.1250 0.7500
Br20 0.8750 0.2500 0.1250

Raw total energy = -1.4609 eV per atom
V = 30.8 Å³/atom
Symmetry = Ia-3d